[1]
The following is a DFT calculation (PBE-GGA) of TaTlSe after structural relaxation.

Cell lengths 6.200, 6.200, 6.200 Å; angles 148.76, 148.76, 44.76 degrees
Fractional positions:
Ta (0.360, 0.360, 0.000)
Tl (0.675, 0.675, 0.000)
Se (0.965, 0.965, 0.000)

- SG: I4mm
- Crystal system: tetragonal
- Polymorph energy (0 for the lowest one): 0.107 eV/atom
- Energy relative to the elements, uncorrected: -10 meV per atom


[2]
The following is a DFT calculation (PBE-GGA) of PmTh2Sc5 after structural relaxation.

Cell lengths 5.178, 7.255, 7.255 Å; angles 78.78, 69.09, 69.09 degrees
Fractional positions:
Sc (0.332, 0.831, 0.506)
Sc (0.668, 0.169, 0.494)
Sc (0.332, 0.506, 0.831)
Sc (0.000, 0.500, 0.500)
Sc (0.668, 0.494, 0.169)
Pm (0.000, 0.000, 0.000)
Th (0.691, 0.809, 0.809)
Th (0.309, 0.191, 0.191)

- SG: Immm
- Crystal system: orthorhombic
- Raw total energy: -6.030 eV per atom


[3]
The following is a DFT calculation (PBE-GGA) of CuTcRu2C after structural relaxation.

Cell lengths 4.564, 4.630, 4.564 Å; angles 90.00, 90.00, 90.00 degrees
Fractional positions:
Cu (0.000, 0.500, 0.000)
C (0.500, 0.500, 0.500)
Ru (0.000, 0.000, 0.500)
Ru (0.500, 0.000, 0.000)
Tc (0.000, 0.000, 0.000)

- SG: P4/mmm
- Crystal system: tetragonal
- Raw total energy: -5.669 eV per atom


[4]
The following is a DFT calculation (PBE-GGA) of SmCuSn after structural relaxation.

Cell lengths 3.849, 4.550, 4.550 Å; angles 120.00, 90.00, 90.00 degrees
Fractional positions:
Cu (0.166, 0.667, 0.333)
Sn (0.167, 0.000, 0.000)
Sm (0.667, 0.333, 0.667)

- SG: P-6m2
- Crystal system: hexagonal
- Raw total energy: -4.813 eV per atom


[5]
The following is a DFT calculation (PBE-GGA) of K5Pt after structural relaxation.

Cell lengths 9.229, 9.229, 4.694 Å; angles 90.00, 90.00, 120.00 degrees
Fractional positions:
Pt (0.000, 0.000, 0.500)
K (0.767, 0.000, 0.000)
K (0.233, 0.233, 0.000)
K (0.667, 0.333, 0.500)
K (0.000, 0.767, 0.000)
K (0.333, 0.667, 0.500)

- SG: P-62m
- Crystal system: hexagonal
- Polymorph energy (0 for the lowest one): 0.056 eV/atom


[6]
The following is a DFT calculation (PBE-GGA) of Pm3Nd8Sm3 after structural relaxation.

Cell lengths 5.771, 9.922, 9.922 Å; angles 102.50, 73.09, 73.09 degrees
Fractional positions:
Nd (0.659, 0.564, 0.118)
Nd (0.838, 0.766, 0.558)
Nd (0.838, 0.558, 0.766)
Nd (0.341, 0.882, 0.436)
Nd (0.659, 0.118, 0.564)
Nd (0.162, 0.234, 0.442)
Nd (0.162, 0.442, 0.234)
Nd (0.341, 0.436, 0.882)
Pm (0.500, 0.500, 0.500)
Pm (0.197, 0.803, 0.803)
Pm (0.803, 0.197, 0.197)
Sm (0.000, 0.818, 0.182)
Sm (0.500, 0.000, 0.000)
Sm (0.000, 0.182, 0.818)

- SG: Immm
- Crystal system: orthorhombic
- Raw total energy: -4.651 eV per atom


Question: Number 6 is which compound?
Answer: Pm3Nd8Sm3